(P)
Density functional theory data (PBE-GGA) for a geometry-optimized AlPd2F structure.

Values from the calculation:
**SG**: Fm-3m

a = 4.2558 Å, b = 4.2558 Å, c = 4.2558 Å
α = 60.00°, β = 60.00°, γ = 60.00°
Last column: nearest neighbours and their distance in Å.
Positions (direct):
1 Al 0.0000 0.0000 0.0000  8 Pd 2.61
2 Pd 0.2500 0.2500 0.2500  4 F 2.61, 4 Al 2.61
3 Pd 0.7500 0.7500 0.7500  4 F 2.61, 4 Al 2.61
4 F 0.5000 0.5000 0.5000  8 Pd 2.61

=====

(Q)
Density functional theory data (PBE-GGA) for a geometry-optimized AlPd2F structure.

Values from the calculation:
**SG**: I-42d

a = 5.4147 Å, b = 5.4147 Å, c = 5.4147 Å
α = 104.58°, β = 104.58°, γ = 119.77°
Last column: nearest neighbours and their distance in Å.
Positions (direct):
1 Al 0.0000 0.0000 0.0000  4 Pd 2.46, 2 F 2.72
2 Al 0.7500 0.2500 0.5000  4 Pd 2.46, 2 F 2.72
3 Pd 0.1291 0.6250 0.0041  2 F 2.42, 2 Al 2.46
4 Pd 0.3750 0.3791 0.5041  2 F 2.42, 2 Al 2.46
5 Pd 0.6209 0.1250 0.9959  2 F 2.42, 2 Al 2.46
6 Pd 0.8750 0.8709 0.4959  2 F 2.42, 2 Al 2.46
7 F 0.2500 0.7500 0.5000  4 Pd 2.42
8 F 0.5000 0.5000 0.0000  4 Pd 2.42

=====

Quick look at relative energies in kJ/mol of atoms: (P) 0.0; (Q) 13.5.

=====

(P)
Density functional theory data (PBE-GGA) for a geometry-optimized Al2PdF structure.

Values from the calculation:
**SG**: Fm-3m

a = 4.3465 Å, b = 4.3465 Å, c = 4.3465 Å
α = 60.00°, β = 60.00°, γ = 60.00°
Last column: nearest neighbours and their distance in Å.
Positions (direct):
1 Al 0.2500 0.2500 0.2500  4 F 2.66, 4 Pd 2.66
2 Al 0.7500 0.7500 0.7500  4 F 2.66, 4 Pd 2.66
3 Pd 0.0000 0.0000 0.0000  8 Al 2.66
4 F 0.5000 0.5000 0.5000  8 Al 2.66

=====

(Q)
Density functional theory data (PBE-GGA) for a geometry-optimized Al2PdF structure.

Values from the calculation:
**SG**: I-42d

a = 6.3718 Å, b = 6.3718 Å, c = 6.3718 Å
α = 130.10°, β = 130.10°, γ = 73.25°
Last column: nearest neighbours and their distance in Å.
Positions (direct):
1 Al 0.0957 0.6250 0.9707  2 F 2.20, 2 Pd 2.39
2 Al 0.3750 0.3457 0.4707  2 F 2.20, 2 Pd 2.39
3 Al 0.6543 0.1250 0.0293  2 F 2.20, 2 Pd 2.39
4 Al 0.8750 0.9043 0.5293  2 F 2.20, 2 Pd 2.39
5 Pd 0.2500 0.7500 0.5000  4 Al 2.39
6 Pd 0.5000 0.5000 0.0000  4 Al 2.39
7 F 0.0000 0.0000 0.0000  4 Al 2.20
8 F 0.7500 0.2500 0.5000  4 Al 2.20

=====

Quick look at relative energies in kJ/mol of atoms: (P) 0.0; (Q) 3.0.

=====

(P)
Density functional theory data (PBE-GGA) for a geometry-optimized Pm2AlF structure.

Values from the calculation:
**SG**: R-3m

a = 7.8772 Å, b = 7.8772 Å, c = 7.8772 Å
α = 27.35°, β = 27.35°, γ = 27.35°
Last column: nearest neighbours and their distance in Å.
Positions (direct):
1 Pm 0.2362 0.2362 0.2362  3 F 2.67
2 Pm 0.7638 0.7638 0.7638  3 F 2.67
3 Al 0.0000 0.0000 0.0000  6 Pm 3.08
4 F 0.5000 0.5000 0.5000  6 Pm 2.67

=====

(Q)
Density functional theory data (PBE-GGA) for a geometry-optimized Pm2AlF structure.

Values from the calculation:
**SG**: P4/mmm

a = 3.2885 Å, b = 3.2885 Å, c = 7.9389 Å
α = 90.00°, β = 90.00°, γ = 90.00°
Last column: nearest neighbours and their distance in Å.
Positions (direct):
1 Pm 0.0000 0.0000 0.2405  4 F 3.01, 4 Al 3.11, 4 Pm 3.29
2 Pm 0.0000 0.0000 0.7595  4 F 3.01, 4 Al 3.11, 4 Pm 3.29
3 Al 0.5000 0.5000 0.5000  8 Pm 3.11, 4 Al 3.29
4 F 0.5000 0.5000 0.0000  8 Pm 3.01, 4 F 3.29

=====

Quick look at relative energies in kJ/mol of atoms: (P) 0.0; (Q) 10.5.

=====

(P)
Density functional theory data (PBE-GGA) for a geometry-optimized Rb2AlF structure.

Values from the calculation:
**SG**: I-42d

a = 7.5425 Å, b = 7.5425 Å, c = 7.5425 Å
α = 114.03°, β = 114.03°, γ = 100.69°
Last column: nearest neighbours and their distance in Å.
Positions (direct):
1 Rb 0.0137 0.1250 0.3887  2 F 2.64
2 Rb 0.3750 0.9863 0.1113  2 F 2.64
3 Rb 0.7363 0.6250 0.6113  2 F 2.64
4 Rb 0.8750 0.2637 0.8887  2 F 2.64
5 Al 0.2500 0.7500 0.5000  4 Rb 3.80
6 Al 0.5000 0.5000 0.0000  4 Rb 3.80
7 F 0.0000 0.0000 0.0000  4 Rb 2.64
8 F 0.7500 0.2500 0.5000  4 Rb 2.64

=====

(Q)
Density functional theory data (PBE-GGA) for a geometry-optimized Rb2AlF structure.

Values from the calculation:
**SG**: Fm-3m

a = 5.9052 Å, b = 5.9052 Å, c = 5.9052 Å
α = 60.00°, β = 60.00°, γ = 60.00°
Last column: nearest neighbours and their distance in Å.
Positions (direct):
1 Rb 0.2500 0.2500 0.2500  4 F 3.62, 4 Al 3.62
2 Rb 0.7500 0.7500 0.7500  4 F 3.62, 4 Al 3.62
3 Al 0.0000 0.0000 0.0000  8 Rb 3.62
4 F 0.5000 0.5000 0.5000  8 Rb 3.62

=====

Quick look at relative energies in kJ/mol of atoms: (P) 0.0; (Q) 37.9.

=====

(P)
Density functional theory data (PBE-GGA) for a geometry-optimized AlReF2 structure.

Values from the calculation:
**SG**: Fm-3m

a = 4.1520 Å, b = 4.1520 Å, c = 4.1520 Å
α = 60.00°, β = 60.00°, γ = 60.00°
Last column: nearest neighbours and their distance in Å.
Positions (direct):
1 Al 0.0000 0.0000 0.0000  8 F 2.54
2 Re 0.5000 0.5000 0.5000  8 F 2.54
3 F 0.2500 0.2500 0.2500  4 Re 2.54, 4 Al 2.54
4 F 0.7500 0.7500 0.7500  4 Re 2.54, 4 Al 2.54

=====

(Q)
Density functional theory data (PBE-GGA) for a geometry-optimized AlReF2 structure.

Values from the calculation:
**SG**: R-3m

a = 8.2137 Å, b = 8.2137 Å, c = 8.2137 Å
α = 19.05°, β = 19.05°, γ = 19.05°
Last column: nearest neighbours and their distance in Å.
Positions (direct):
1 Al 0.0000 0.0000 0.0000  2 F 1.83
2 Re 0.5000 0.5000 0.5000  6 F 2.70, 6 Re 2.72
3 F 0.0758 0.0758 0.0758  1 Al 1.83
4 F 0.9242 0.9242 0.9242  1 Al 1.83

=====

(R)
Density functional theory data (PBE-GGA) for a geometry-optimized AlReF2 structure.

Values from the calculation:
**SG**: R-3m

a = 8.2328 Å, b = 8.2328 Å, c = 8.2328 Å
α = 19.14°, β = 19.14°, γ = 19.14°
Last column: nearest neighbours and their distance in Å.
Positions (direct):
1 Al 0.0000 0.0000 0.0000  6 F 2.58, 6 Al 2.74
2 Re 0.5000 0.5000 0.5000  2 F 1.99
3 F 0.4177 0.4177 0.4177  1 Re 1.99
4 F 0.5823 0.5823 0.5823  1 Re 1.99

=====

(S)
Density functional theory data (PBE-GGA) for a geometry-optimized AlReF2 structure.

Values from the calculation:
**SG**: I-42d

a = 5.7425 Å, b = 5.7425 Å, c = 5.7425 Å
α = 120.02°, β = 120.02°, γ = 89.96°
Last column: nearest neighbours and their distance in Å.
Positions (direct):
1 Al 0.0000 0.0000 0.0000  4 F 1.76
2 Al 0.7500 0.2500 0.5000  4 F 1.76
3 Re 0.2500 0.7500 0.5000  12 F 3.36-3.37, 4 Re 3.52, 4 Al 3.52
4 Re 0.5000 0.5000 0.0000  12 F 3.36-3.37, 4 Re 3.52, 4 Al 3.52
5 F 0.3750 0.1262 0.2512  2 Al 1.76
6 F 0.8738 0.1250 0.2488  2 Al 1.76
7 F 0.8750 0.1238 0.7488  2 Al 1.76
8 F 0.8762 0.6250 0.7512  2 Al 1.76

=====

Quick look at relative energies in kJ/mol of atoms: (P) 111.3; (Q) 26.6; (R) 0.0; (S) 69.9.

=====

(P)
Density functional theory data (PBE-GGA) for a geometry-optimized Al3ReF structure.

Values from the calculation:
**SG**: Pm-3m

a = 4.7795 Å, b = 4.7795 Å, c = 4.7795 Å
α = 90.00°, β = 90.00°, γ = 90.00°
Last column: nearest neighbours and their distance in Å.
Positions (direct):
1 Al 0.0000 0.0000 0.5000  2 Re 2.39
2 Al 0.0000 0.5000 0.0000  2 Re 2.39
3 Al 0.5000 0.0000 0.0000  2 Re 2.39
4 Re 0.0000 0.0000 0.0000  6 Al 2.39
5 F 0.5000 0.5000 0.5000  12 Al 3.38

=====

(Q)
Density functional theory data (PBE-GGA) for a geometry-optimized Al3ReF structure.

Values from the calculation:
**SG**: Pm-3m

a = 4.1181 Å, b = 4.1181 Å, c = 4.1181 Å
α = 90.00°, β = 90.00°, γ = 90.00°
Last column: nearest neighbours and their distance in Å.
Positions (direct):
1 Al 0.0000 0.0000 0.5000  2 F 2.06
2 Al 0.0000 0.5000 0.0000  2 F 2.06
3 Al 0.5000 0.0000 0.0000  2 F 2.06
4 Re 0.5000 0.5000 0.5000  12 Al 2.91
5 F 0.0000 0.0000 0.0000  6 Al 2.06

=====

Quick look at relative energies in kJ/mol of atoms: (P) 23.1; (Q) 0.0.

=====

(P)
Density functional theory data (PBE-GGA) for a geometry-optimized AlRhF3 structure.

Values from the calculation:
**SG**: Pm-3m

a = 3.8783 Å, b = 3.8783 Å, c = 3.8783 Å
α = 90.00°, β = 90.00°, γ = 90.00°
Last column: nearest neighbours and their distance in Å.
Positions (direct):
1 Al 0.0000 0.0000 0.0000  6 F 1.94
2 Rh 0.5000 0.5000 0.5000  12 F 2.74
3 F 0.0000 0.0000 0.5000  2 Al 1.94
4 F 0.0000 0.5000 0.0000  2 Al 1.94
5 F 0.5000 0.0000 0.0000  2 Al 1.94

=====

(Q)
Density functional theory data (PBE-GGA) for a geometry-optimized AlRhF3 structure.

Values from the calculation:
**SG**: Pm-3m

a = 4.2515 Å, b = 4.2515 Å, c = 4.2515 Å
α = 90.00°, β = 90.00°, γ = 90.00°
Last column: nearest neighbours and their distance in Å.
Positions (direct):
1 Al 0.0000 0.0000 0.0000  12 F 3.01
2 Rh 0.5000 0.5000 0.5000  6 F 2.13
3 F 0.0000 0.5000 0.5000  2 Rh 2.13
4 F 0.5000 0.0000 0.5000  2 Rh 2.13
5 F 0.5000 0.5000 0.0000  2 Rh 2.13

=====

Quick look at relative energies in kJ/mol of atoms: (P) 0.0; (Q) 50.0.

=====

(P)
Density functional theory data (PBE-GGA) for a geometry-optimized Al2RuF structure.

Values from the calculation:
**SG**: Fm-3m

a = 4.2822 Å, b = 4.2822 Å, c = 4.2822 Å
α = 60.00°, β = 60.00°, γ = 60.00°
Last column: nearest neighbours and their distance in Å.
Positions (direct):
1 Al 0.2500 0.2500 0.2500  4 F 2.62, 4 Ru 2.62
2 Al 0.7500 0.7500 0.7500  4 F 2.62, 4 Ru 2.62
3 Ru 0.0000 0.0000 0.0000  8 Al 2.62
4 F 0.5000 0.5000 0.5000  8 Al 2.62

=====

(Q)
Density functional theory data (PBE-GGA) for a geometry-optimized Al2RuF structure.

Values from the calculation:
**SG**: I-42d

a = 5.2466 Å, b = 5.2466 Å, c = 5.2466 Å
α = 109.86°, β = 109.86°, γ = 108.69°
Last column: nearest neighbours and their distance in Å.
Positions (direct):
1 Al 0.0752 0.6250 0.9502  2 F 2.08
2 Al 0.3750 0.3252 0.4502  2 F 2.08
3 Al 0.6748 0.1250 0.0498  2 F 2.08
4 Al 0.8750 0.9248 0.5498  2 F 2.08
5 Ru 0.2500 0.7500 0.5000  4 Al 2.47
6 Ru 0.5000 0.5000 0.0000  4 Al 2.47
7 F 0.0000 0.0000 0.0000  4 Al 2.08
8 F 0.7500 0.2500 0.5000  4 Al 2.08

=====

Quick look at relative energies in kJ/mol of atoms: (P) 30.4; (Q) 0.0.